Model A:
Computed, not measured: an optimized crystal structure of Mg2InHg5 at the PBE level of DFT.

Unit cell a=3.522 b=8.016 c=8.016 alpha=65.38 beta=77.31 gamma=77.31
Sites, in units of the cell vectors:
Mg 0.771 0.729 0.729
Mg 0.229 0.271 0.271
In 0.000 0.000 0.000
Hg 0.000 0.500 0.500
Hg 0.629 0.617 0.125
Hg 0.371 0.383 0.875
Hg 0.371 0.875 0.383
Hg 0.629 0.125 0.617

Summary:
V in Å³ per cell: 198.6
ρ in Mg/m³: 9.752


Model B:
Computed, not measured: an optimized crystal structure of Mg2InHg5 at the PBE level of DFT.

Unit cell a=4.599 b=6.178 c=13.261 alpha=90.00 beta=90.00 gamma=90.00
Sites, in units of the cell vectors:
Mg 0.500 0.285 0.636
Mg 0.500 0.715 0.364
Mg 0.500 0.215 0.136
Mg 0.500 0.785 0.864
In 0.000 0.000 0.500
In 0.000 0.500 0.000
Hg 0.000 0.000 0.000
Hg 0.000 0.500 0.500
Hg 0.000 0.538 0.754
Hg 0.000 0.462 0.246
Hg 0.000 0.962 0.254
Hg 0.000 0.038 0.746
Hg 0.500 0.276 0.880
Hg 0.500 0.724 0.120
Hg 0.500 0.224 0.380
Hg 0.500 0.776 0.620

Summary:
V in Å³ per cell: 376.8
ρ in Mg/m³: 10.280


So which one wins? Going from most stable to least: model B, model A.


Model A:
Computed, not measured: an optimized crystal structure of Mg7InHg4 at the PBE level of DFT.

Unit cell a=6.122 b=7.123 c=9.867 alpha=62.41 beta=45.51 gamma=64.11
Sites, in units of the cell vectors:
Mg 0.756 0.494 0.999
Mg 0.244 0.506 0.001
Mg 0.017 0.328 0.660
Mg 0.983 0.672 0.340
Mg 0.238 0.840 0.640
Mg 0.500 0.000 0.000
Mg 0.762 0.160 0.360
In 0.000 0.000 0.000
Hg 0.526 0.645 0.312
Hg 0.474 0.355 0.688
Hg 0.719 0.798 0.684
Hg 0.281 0.202 0.316

Summary:
V in Å³ per cell: 267.7
ρ in Mg/m³: 6.745


Model B:
Computed, not measured: an optimized crystal structure of Mg7InHg4 at the PBE level of DFT.

Unit cell a=5.259 b=8.625 c=7.200 alpha=80.14 beta=68.58 gamma=72.25
Sites, in units of the cell vectors:
Mg 0.785 0.876 0.555
Mg 0.215 0.124 0.445
Mg 0.069 0.661 0.201
Mg 0.931 0.339 0.799
Mg 0.345 0.585 0.724
Mg 0.500 0.000 0.000
Mg 0.655 0.415 0.276
In 0.000 0.000 0.000
Hg 0.573 0.220 0.634
Hg 0.427 0.780 0.366
Hg 0.713 0.661 0.914
Hg 0.287 0.339 0.086

Summary:
V in Å³ per cell: 288.9
ρ in Mg/m³: 6.250


So which one wins? Going from most stable to least: model A, model B.


Model A:
Computed, not measured: an optimized crystal structure of MgIn2Hg5 at the PBE level of DFT.

Unit cell a=5.313 b=7.548 c=11.909 alpha=90.00 beta=90.00 gamma=110.60
Sites, in units of the cell vectors:
Mg 0.707 0.414 0.750
Mg 0.293 0.586 0.250
In 0.890 0.779 0.378
In 0.890 0.779 0.122
In 0.110 0.221 0.622
In 0.110 0.221 0.878
Hg 0.900 0.801 0.873
Hg 0.900 0.801 0.627
Hg 0.337 0.675 0.489
Hg 0.337 0.675 0.011
Hg 0.683 0.366 0.250
Hg 0.317 0.634 0.750
Hg 0.663 0.325 0.511
Hg 0.663 0.325 0.989
Hg 0.100 0.199 0.127
Hg 0.100 0.199 0.373

Summary:
V in Å³ per cell: 447.0
ρ in Mg/m³: 9.338


Model B:
Computed, not measured: an optimized crystal structure of MgIn2Hg5 at the PBE level of DFT.

Unit cell a=6.275 b=6.153 c=7.030 alpha=116.44 beta=108.86 gamma=105.02
Sites, in units of the cell vectors:
Mg 0.848 0.828 0.034
In 0.213 0.759 0.447
In 0.861 0.313 0.554
Hg 0.353 0.336 0.536
Hg 0.365 0.805 0.046
Hg 0.691 0.254 0.961
Hg 0.711 0.722 0.453
Hg 0.182 0.206 0.969

Summary:
V in Å³ per cell: 202.3
ρ in Mg/m³: 10.318


So which one wins? Going from most stable to least: model B, model A.


Model A:
Computed, not measured: an optimized crystal structure of MgIn2Hg6 at the PBE level of DFT.

Unit cell a=5.042 b=6.709 c=8.544 alpha=113.12 beta=107.90 gamma=90.00
Sites, in units of the cell vectors:
Mg 0.000 0.000 0.000
In 0.573 0.670 0.339
In 0.427 0.330 0.661
Hg 0.080 0.400 0.321
Hg 0.920 0.079 0.679
Hg 0.920 0.600 0.679
Hg 0.500 0.241 0.000
Hg 0.080 0.921 0.321
Hg 0.500 0.759 0.000

Summary:
V in Å³ per cell: 250.5
ρ in Mg/m³: 9.661


Model B:
Computed, not measured: an optimized crystal structure of MgIn2Hg6 at the PBE level of DFT.

Unit cell a=7.662 b=3.682 c=8.611 alpha=77.66 beta=87.24 gamma=76.96
Sites, in units of the cell vectors:
Mg 0.000 0.000 0.500
In 0.500 0.833 0.833
In 0.500 0.167 0.167
Hg 0.164 0.841 0.168
Hg 0.836 0.491 0.168
Hg 0.836 0.159 0.832
Hg 0.164 0.509 0.832
Hg 0.324 0.333 0.500
Hg 0.676 0.667 0.500

Summary:
V in Å³ per cell: 231.2
ρ in Mg/m³: 10.469


So which one wins? Going from most stable to least: model B, model A.


Model A:
Computed, not measured: an optimized crystal structure of MgInHg4 at the PBE level of DFT.

Unit cell a=3.490 b=6.717 c=6.420 alpha=91.53 beta=90.00 gamma=90.00
Sites, in units of the cell vectors:
Mg 0.000 0.000 0.000
In 0.500 0.000 0.500
Hg 0.000 0.342 0.320
Hg 0.500 0.685 0.151
Hg 0.500 0.315 0.849
Hg 0.000 0.658 0.680

Summary:
V in Å³ per cell: 150.4
ρ in Mg/m³: 10.393


Model B:
Computed, not measured: an optimized crystal structure of MgInHg4 at the PBE level of DFT.

Unit cell a=6.065 b=6.065 c=6.065 alpha=60.00 beta=60.00 gamma=60.00
Sites, in units of the cell vectors:
Mg 0.000 0.000 0.000
In 0.750 0.750 0.750
Hg 0.375 0.875 0.375
Hg 0.875 0.375 0.375
Hg 0.375 0.375 0.875
Hg 0.375 0.375 0.375

Summary:
V in Å³ per cell: 157.8
ρ in Mg/m³: 9.910


So which one wins? Going from most stable to least: model A, model B.


Model A:
Computed, not measured: an optimized crystal structure of Mg4In5Hg at the PBE level of DFT.

Unit cell a=3.581 b=3.581 c=18.875 alpha=90.00 beta=90.00 gamma=90.00
Sites, in units of the cell vectors:
Mg 0.000 0.000 0.207
Mg 0.000 0.000 0.403
Mg 0.000 0.000 0.597
Mg 0.000 0.000 0.793
In 0.500 0.500 0.107
In 0.500 0.500 0.305
In 0.500 0.500 0.500
In 0.500 0.500 0.695
In 0.500 0.500 0.893
Hg 0.000 0.000 0.000

Summary:
V in Å³ per cell: 242.0
ρ in Mg/m³: 5.983


Model B:
Computed, not measured: an optimized crystal structure of Mg4In5Hg at the PBE level of DFT.

Unit cell a=4.772 b=7.327 c=8.298 alpha=115.74 beta=106.71 gamma=90.00
Sites, in units of the cell vectors:
Mg 0.330 0.065 0.659
Mg 0.985 0.211 0.971
Mg 0.670 0.935 0.341
Mg 0.015 0.789 0.029
In 0.835 0.365 0.669
In 0.813 0.754 0.627
In 0.187 0.246 0.373
In 0.500 0.500 0.000
In 0.165 0.635 0.331
Hg 0.500 0.000 0.000

Summary:
V in Å³ per cell: 247.7
ρ in Mg/m³: 5.845


So which one wins? Going from most stable to least: model B, model A.


Model A:
Computed, not measured: an optimized crystal structure of Mg3In2Hg2 at the PBE level of DFT.

Unit cell a=3.353 b=7.116 c=7.488 alpha=108.21 beta=89.17 gamma=104.83
Sites, in units of the cell vectors:
Mg 0.000 0.000 0.000
Mg 0.713 0.436 0.168
Mg 0.287 0.564 0.832
In 0.890 0.755 0.574
In 0.110 0.245 0.426
Hg 0.599 0.188 0.769
Hg 0.401 0.812 0.231

Summary:
V in Å³ per cell: 163.7
ρ in Mg/m³: 7.141


Model B:
Computed, not measured: an optimized crystal structure of Mg3In2Hg2 at the PBE level of DFT.

Unit cell a=3.364 b=3.285 c=14.697 alpha=90.00 beta=83.43 gamma=90.00
Sites, in units of the cell vectors:
Mg 0.869 0.000 0.262
Mg 0.000 0.000 0.000
Mg 0.131 0.000 0.738
In 0.704 0.500 0.591
In 0.296 0.500 0.409
Hg 0.566 0.500 0.868
Hg 0.434 0.500 0.132

Summary:
V in Å³ per cell: 161.3
ρ in Mg/m³: 7.243


So which one wins? Going from most stable to least: model B, model A.